A plane-wave DFT calculation with PBE-GGA was carried out for a relaxed BaPmZnSn crystal.

Its total energy is -13.37 eV/f.u. Its calculated formation energy is -0.354 eV/atom.

Structure (CIF):
```
data_BaPmZnSn
_space_group_name_H-M_alt 'F -4 3 m'
_space_group_IT_number 216
_space_group_name_Hall 'F -4 2 3'
_cell_length_a 7.938
_cell_length_b 7.938
_cell_length_c 7.938
_cell_angle_alpha 90.00
_cell_angle_beta 90.00
_cell_angle_gamma 90.00
loop_
_atom_site_label
_atom_site_fract_x
_atom_site_fract_y
_atom_site_fract_z
Ba1 0.000 0.000 0.000
Pm1 0.000 0.000 0.500
Zn1 0.250 0.250 0.250
Sn1 0.250 0.250 0.750
```